Ba2TaCoRh: optimized geometry, GGA-PBEsol.

Geometry as extended XYZ:
```
5
Lattice="4.5497 0.0000 0.0000 0.0000 5.4522 0.0000 0.0000 0.0000 5.4522" Properties=species:S:1:pos:R:3 pbc="T T T"
Rh 2.2748 2.7261 2.7261
Ba 0.0000 0.0000 2.7261
Ta 2.2748 0.0000 0.0000
Ba 0.0000 2.7261 0.0000
Co 0.0000 0.0000 0.0000
```

Values from the calculation:
Electronic total energy (eV per atom): -5.4826
Mass density (g/cm³): 7.6
Total moment (μB per atom): 0.19
Space group: No. 123
E_form (eV per atom): 1.062

=====

La2ZnIn: optimized geometry, GGA-PBEsol.

Geometry as extended XYZ:
```
4
Lattice="-2.2144 -1.6684 2.5253 4.1382 -0.6626 3.1909 -1.9463 5.8891 -0.6006" Properties=species:S:1:pos:R:3 pbc="T T T"
Zn 0.9177 -0.9535 2.9594
La -0.0093 3.4946 5.0853
La -1.6465 1.7534 2.4994
In 1.6549 1.6561 2.5453
```

Values from the calculation:
Electronic total energy (eV per atom): -4.1908
Mass density (g/cm³): 7.2
Total moment (μB per atom): 0.00
Space group: No. 44
E_form (eV per atom): -0.377

=====

PtN2ClO: optimized geometry, GGA-PBEsol.

Geometry as extended XYZ:
```
5
Lattice="-1.2922 1.2098 -2.9538 -3.1884 -0.6397 1.1328 -0.2387 5.0022 2.1532" Properties=species:S:1:pos:R:3 pbc="T T T"
O 0.0000 0.0000 0.0000
N -0.6461 0.6049 -1.4769
Cl -0.1193 2.5011 1.0766
N -1.5942 -0.3199 0.5664
Pt -2.3596 2.7862 0.1661
```

Values from the calculation:
Electronic total energy (eV per atom): -4.0219
Raw formation energy (kJ/mol of formula units): 1077.2
Mass density (g/cm³): 7.1
Total moment (μB per atom): 0.43
Space group: No. 123

=====

Al2Ag: optimized geometry, GGA-PBEsol.

Geometry as extended XYZ:
```
6
Lattice="-1.6005 -2.1521 -0.9899 -0.0414 -1.1691 2.6086 -9.8478 6.1313 2.5919" Properties=species:S:1:pos:R:3 pbc="T T T"
Al -4.1110 1.9621 2.3808
Al -6.5577 2.5086 1.0203
Ag -0.9031 -0.0352 1.5365
Ag -9.7656 4.5058 1.8646
Al -7.4264 4.0262 3.2534
Al -3.2424 0.4444 0.1478
```

Values from the calculation:
Electronic total energy (eV per atom): -3.8745
Mass density (g/cm³): 5.5
Total moment (μB per atom): 0.00
Space group: No. 129
E_form (eV per atom): -0.043

=====

TcRu2Se: optimized geometry, GGA-PBEsol.

Geometry as extended XYZ:
```
4
Lattice="2.8457 0.0000 0.0000 0.0000 2.8457 0.0000 0.0000 0.0000 6.9098" Properties=species:S:1:pos:R:3 pbc="T T T"
Tc 1.4228 1.4228 3.4549
Ru 0.0000 0.0000 5.2090
Ru 0.0000 0.0000 1.7008
Se 1.4228 1.4228 0.0000
```

Values from the calculation:
Electronic total energy (eV per atom): -8.7005
Raw formation energy (kJ/mol of formula units): 63.6
Mass density (g/cm³): 11.3
Total moment (μB per atom): 0.00
Space group: No. 123

=====

BaTl2Tc: optimized geometry, GGA-PBEsol.

Geometry as extended XYZ:
```
4
Lattice="-1.1660 0.8115 -5.0826 3.4177 -1.4414 -3.7540 -1.1024 -4.0952 -3.1408" Properties=species:S:1:pos:R:3 pbc="T T T"
Tl 0.8620 -3.5438 -8.9830
Tc 0.5747 -2.3626 -5.9887
Ba 0.0000 0.0000 0.0000
Tl 0.2873 -1.1813 -2.9943
```

Values from the calculation:
Electronic total energy (eV per atom): -4.0840
Mass density (g/cm³): 10.3
Total moment (μB per atom): 0.60
Space group: No. 225
Polymorph energy (0 for the lowest one) (meV/atom): 117
E_form (eV per atom): 0.585

=====

Si2AsCl: optimized geometry, GGA-PBEsol.

Geometry as extended XYZ:
```
4
Lattice="-1.5402 2.6063 -1.0454 -1.9875 -2.4344 0.6175 -0.8012 2.5939 7.6476" Properties=species:S:1:pos:R:3 pbc="T T T"
Si -2.3785 2.0759 5.6529
Cl -1.9163 0.5795 1.2411
As -0.4546 1.4718 4.3393
Si -0.7813 2.5295 7.4578
```

Values from the calculation:
Electronic total energy (eV per atom): -4.4842
Raw formation energy (kJ/mol of formula units): 64.7
Mass density (g/cm³): 3.6
Total moment (μB per atom): 0.00
Space group: No. 35
Polymorph energy (0 for the lowest one) (meV/atom): 208

=====

BaZn2Ni: optimized geometry, GGA-PBEsol.

Geometry as extended XYZ:
```
4
Lattice="3.1767 0.0000 0.0000 0.0000 3.1841 0.0000 0.0000 0.0000 7.4590" Properties=species:S:1:pos:R:3 pbc="T T T"
Zn 0.0000 0.0000 2.5054
Ba 1.5883 1.5920 0.0000
Zn 0.0000 0.0000 4.9535
Ni 1.5883 1.5920 3.7295
```

Values from the calculation:
Electronic total energy (eV per atom): -2.8280
Mass density (g/cm³): 7.2
Total moment (μB per atom): 0.00
Space group: No. 123
E_form (eV per atom): 0.040

=====

K2OsW2: optimized geometry, GGA-PBEsol.

Geometry as extended XYZ:
```
5
Lattice="-1.8757 -3.0544 0.0664 3.0548 -1.8740 0.0909 -0.6866 2.7006 8.0561" Properties=species:S:1:pos:R:3 pbc="T T T"
K -0.9864 -1.4090 4.1006
W -0.0837 0.2039 7.0146
K 1.4789 -0.8188 4.1128
Os 0.0000 0.0000 0.0000
W 0.5762 -2.4316 1.1988
```

Values from the calculation:
Electronic total energy (eV per atom): -6.6081
Mass density (g/cm³): 10.1
Total moment (μB per atom): 0.15
Space group: No. 139
E_form (eV per atom): 1.811

=====

CaScRe2: optimized geometry, GGA-PBEsol.

Geometry as extended XYZ:
```
4
Lattice="-0.1578 -2.7577 -0.2363 1.5341 0.9634 -2.0986 7.8157 -0.9014 5.2996" Properties=species:S:1:pos:R:3 pbc="T T T"
Re 5.7543 -0.6636 3.9019
Re 2.0614 -0.2377 1.3978
Sc 4.5960 -1.3478 1.4824
Ca 0.6881 -0.8972 -1.1674
```

Values from the calculation:
Electronic total energy (eV per atom): -8.4051
Mass density (g/cm³): 11.0
Total moment (μB per atom): 0.00
Space group: No. 65
Polymorph energy (0 for the lowest one) (meV/atom): 0
E_form (eV per atom): 0.445

=====

CuRe2Hg: optimized geometry, GGA-PBEsol.

Geometry as extended XYZ:
```
4
Lattice="-0.7201 -0.7838 2.5473 3.7549 0.6094 1.2490 -1.2737 5.2651 1.2600" Properties=species:S:1:pos:R:3 pbc="T T T"
Cu 1.5174 -0.0872 1.8982
Hg 0.8806 2.5454 2.5282
Re -0.2668 1.1027 0.2639
Re -1.0069 4.1624 0.9961
```

Values from the calculation:
Electronic total energy (eV per atom): -7.1861
Mass density (g/cm³): 17.2
Total moment (μB per atom): 0.00
Space group: No. 47
E_form (eV per atom): 0.705

=====

Li2Ti3P9O28: optimized geometry, GGA-PBEsol.

Geometry as extended XYZ:
```
42
Lattice="-3.0043 -5.9688 -2.7031 4.8284 -4.1391 6.5101 -6.6802 5.9003 3.5688" Properties=species:S:1:pos:R:3 pbc="T T T"
O -1.0035 -2.7702 4.5734
P -3.2130 1.7641 7.2144
O -0.5723 -6.1661 1.2204
Li 1.2498 -6.0038 4.7755
P -1.6432 -5.9717 0.1615
Ti -0.9259 0.8806 5.0395
Li -6.1060 1.7962 2.6004
O -2.4720 -0.0576 4.2949
Ti -7.2877 -0.1342 0.6325
O -4.6594 -3.4320 1.5960
O -2.9067 -5.2946 0.6750
O 2.9184 -4.8230 4.9171
P -0.2468 -2.2812 5.9029
O 0.9145 -1.4960 2.4185
O 0.0400 -3.4126 1.0040
O -4.8096 0.7622 3.6364
O -5.6897 4.5105 3.4566
O 0.8335 -8.7181 3.9193
P 0.1455 -1.8897 1.0703
O -2.9931 0.7604 1.9303
O -3.6374 -2.9882 6.2736
O -5.7707 -2.7116 4.9574
O -1.9495 1.0870 6.7009
O -1.8631 -4.9680 5.4456
O -1.2188 -1.2194 1.1022
Ti 2.4315 -4.0735 6.7434
O -2.3841 -4.1500 3.0810
O -3.7941 -1.4478 0.2546
P -4.6094 -1.9264 1.4730
P -5.0017 -2.3179 6.3056
P -3.5072 0.0816 3.2008
O -7.7745 0.6154 2.4588
O -0.1968 -0.7756 5.7799
P 0.9120 -5.0540 1.9035
O -3.8527 -1.4374 2.8025
O -0.0466 -4.9698 3.7395
O -5.9973 -1.2991 1.5020
O 1.1412 -2.9085 5.8739
P -1.3489 -4.2892 4.1751
O -4.8962 -0.7950 6.3719
O -4.2839 1.9585 6.1555
O -1.0620 -2.7598 7.1213
```

Values from the calculation:
Electronic total energy (eV per atom): -7.7449
Raw formation energy (kJ/mol of formula units): -9386.2
Mass density (g/cm³): 2.8
Total moment (μB per atom): 0.03
Space group: No. 2

=====

LaPbCl2: optimized geometry, GGA-PBEsol.

Geometry as extended XYZ:
```
4
Lattice="-2.9028 -1.2883 -1.2821 1.1367 -3.1719 0.6136 -4.3022 0.2868 9.4521" Properties=species:S:1:pos:R:3 pbc="T T T"
Pb -3.0341 -2.0867 4.3918
La -0.8830 -2.2301 -0.3343
Cl -3.6278 0.2418 7.9704
Cl -0.6744 0.0450 1.4817
```

Values from the calculation:
Electronic total energy (eV per atom): -4.6765
Raw formation energy (kJ/mol of formula units): -515.7
Mass density (g/cm³): 5.7
Total moment (μB per atom): 0.00
Space group: No. 123
Polymorph energy (0 for the lowest one) (meV/atom): 0

=====

TlAuCl4: optimized geometry, GGA-PBEsol.

Geometry as extended XYZ:
```
12
Lattice="-1.9298 1.8172 5.0562 0.2144 -6.5330 -0.7932 9.1381 1.5868 2.9175" Properties=species:S:1:pos:R:3 pbc="T T T"
Cl 2.3975 1.4082 5.2144
Au -0.8577 -2.3579 2.1315
Cl 5.5315 -1.4951 2.9497
Cl 5.0252 -4.5372 1.9661
Cl -0.4914 -4.4383 2.9901
Cl 1.8912 -1.6340 4.2308
Tl 1.8322 0.8226 1.9144
Au 4.6762 -2.4731 1.0621
Cl 6.2799 -0.6708 6.1620
Tl 5.3761 2.5813 6.0592
Cl 7.9141 1.3093 4.1904
Cl 1.1427 -2.4583 1.0185
```

Values from the calculation:
Electronic total energy (eV per atom): -2.9840
Raw formation energy (kJ/mol of formula units): -320.2
Mass density (g/cm³): 5.6
Total moment (μB per atom): 0.00
Space group: No. 15

=====

HoZnGe: optimized geometry, GGA-PBEsol.

Geometry as extended XYZ:
```
6
Lattice="-3.8180 1.3086 -0.8061 0.6798 -3.9713 0.8403 -1.1231 1.4217 7.6271" Properties=species:S:1:pos:R:3 pbc="T T T"
Ho -0.5615 0.7108 3.8135
Ge -2.5995 -0.0959 1.6495
Ge -1.6618 -1.1451 6.0118
Ho 0.0000 0.0000 0.0000
Zn -1.1002 -1.8559 2.1983
Zn -3.1611 0.6149 5.4630
```

Values from the calculation:
Electronic total energy (eV per atom): -4.4938
Mass density (g/cm³): 8.7
Total moment (μB per atom): 0.00
Space group: No. 194
E_form (eV per atom): -0.670

=====

Sr2Ni: optimized geometry, GGA-PBEsol.

Geometry as extended XYZ:
```
3
Lattice="4.1899 0.0000 0.0000 -2.0949 3.6285 0.0000 0.0000 0.0000 6.8854" Properties=species:S:1:pos:R:3 pbc="T T T"
Ni 0.0000 0.0000 0.0000
Sr 2.0949 1.2095 1.6064
Sr 0.0000 2.4190 5.2790
```

Values from the calculation:
Electronic total energy (eV per atom): -3.1668
Mass density (g/cm³): 3.7
Total moment (μB per atom): 0.00
Space group: No. 164
E_form (eV per atom): 0.113

=====

TaCo2C2: optimized geometry, GGA-PBEsol.

Geometry as extended XYZ:
```
5
Lattice="3.3004 0.0000 0.0000 0.0000 3.3004 0.0000 -1.6502 -1.6502 4.0661" Properties=species:S:1:pos:R:3 pbc="T T T"
Ta 0.0000 0.0000 0.0000
Co 0.0000 1.6502 2.0331
C 0.0000 0.0000 3.2794
C 1.6502 1.6502 0.7867
Co 1.6502 0.0000 2.0331
```

Values from the calculation:
Electronic total energy (eV per atom): -9.4310
Mass density (g/cm³): 12.1
Total moment (μB per atom): 0.00
Space group: No. 139
E_form (eV per atom): 0.032

=====

LaIn2Ir: optimized geometry, GGA-PBEsol.

Geometry as extended XYZ:
```
4
Lattice="3.1092 0.0000 0.0000 0.0000 5.8199 -0.1675 0.0000 -2.9363 5.0277" Properties=species:S:1:pos:R:3 pbc="T T T"
In 0.0000 2.9100 -0.0838
In 0.0000 -1.4682 2.5138
Ir 1.5546 0.0000 0.0000
La 1.5546 1.4418 2.4301
```

Values from the calculation:
Electronic total energy (eV per atom): -5.2418
Mass density (g/cm³): 10.4
Total moment (μB per atom): 0.00
Space group: No. 65
E_form (eV per atom): 0.042

=====

Zn2CrTe: optimized geometry, GGA-PBEsol.

Geometry as extended XYZ:
```
4
Lattice="3.2463 0.0000 0.0000 1.6232 2.8114 0.0000 1.6232 0.9371 8.3196" Properties=species:S:1:pos:R:3 pbc="T T T"
Zn 1.6232 0.9371 2.2817
Te 0.0000 0.0000 0.0000
Zn 4.8695 2.8114 6.0379
Cr 3.2463 1.8743 4.1598
```

Values from the calculation:
Electronic total energy (eV per atom): -3.7269
Raw formation energy (kJ/mol of formula units): 195.3
Mass density (g/cm³): 6.8
Total moment (μB per atom): 0.99
Space group: No. 166

=====

ZnSnPt3: optimized geometry, GGA-PBEsol.

Geometry as extended XYZ:
```
5
Lattice="4.8561 0.0000 0.0000 0.0000 4.8561 0.0000 0.0000 0.0000 4.8561" Properties=species:S:1:pos:R:3 pbc="T T T"
Pt 0.0000 2.4280 0.0000
Pt 2.4280 0.0000 0.0000
Zn 2.4280 2.4280 2.4280
Sn 0.0000 0.0000 0.0000
Pt 0.0000 0.0000 2.4280
```

Values from the calculation:
Electronic total energy (eV per atom): -4.2722
Mass density (g/cm³): 11.2
Total moment (μB per atom): 0.00
Space group: No. 221
E_form (eV per atom): 1.074